Density functional theory data (PBE with a Hubbard U) for an optimized crystal structure of V2CdO4.

Results
Electronic total energy = -6.909 eV per atom
Energy relative to the lowest polymorph listed for this composition = 0 meV/atom
Calculated volume = 86.9 Å³/f.u.
D(E_F) = 0.000 states/eV/atom

CIF file:
```
data_V2CdO4
_cell_length_a 6.325
_cell_length_b 6.325
_cell_length_c 8.694
_cell_angle_alpha 90.00
_cell_angle_beta 90.00
_cell_angle_gamma 90.00
_space_group_name_H-M_alt 'I 41/a'
_space_group_IT_number 88
loop_
_space_group_symop_operation_xyz
'x,y,z'
'-x,-y,-z'
'-y+3/4,x+1/4,z+1/4'
'y+3/4,-x+1/4,-z+1/4'
'-x+1/2,-y,z+1/2'
'x+1/2,y,-z+1/2'
'y+3/4,-x+3/4,z+3/4'
'-y+3/4,x+3/4,-z+3/4'
'x+1/2,y+1/2,z+1/2'
'-x+1/2,-y+1/2,-z+1/2'
'-y+1/4,x+3/4,z+3/4'
'y+1/4,-x+3/4,-z+3/4'
'-x,-y+1/2,z'
'x,y+1/2,-z'
'y+1/4,-x+1/4,z+1/4'
'-y+1/4,x+1/4,-z+1/4'
loop_
_atom_site_label
_atom_site_type_symbol
_atom_site_fract_x
_atom_site_fract_y
_atom_site_fract_z
V1 V 0.000 0.000 0.000
Cd1 Cd 0.000 0.250 0.625
O1 O 0.008 0.037 0.235
```